Entry 1:
DFT (GGA-PBE) results for a relaxed structure of NdSm8Sc3.

Lattice parameters (Å, degrees): 6.1231 7.9179 8.6768 111.44 90.10 104.84
Space group P1 (No. 1)
One atom of each set of equivalent atoms:
Nd 0.0000 0.0000 0.0000
Sm 0.0855 0.7407 0.5790
Sm 0.2543 0.2539 0.7562
Sm 0.3306 0.9857 0.3229
Sm 0.4944 0.4925 0.4955
Sm 0.6647 0.9966 0.6717
Sm 0.7397 0.7326 0.2436
Sm 0.8366 0.4987 0.8391
Sm 0.9107 0.2436 0.4108
Sc 0.1649 0.4908 0.1605
Sc 0.4157 0.7474 0.9190
Sc 0.5817 0.2444 0.0826

The volume is 376.4 Å³/f.u. The total moment is 0.000 μB/f.u. Its formation energy is 0.048 eV/atom. Its crystal system is triclinic. The density comes out at 6.54 Mg/m³.



Entry 2:
DFT (GGA-PBE) results for a relaxed structure of Nd6C2SBr3.

Lattice parameters (Å, degrees): 6.7987 11.7767 7.7260 90.00 107.06 90.00
Space group C2/m (No. 12)
One atom of each set of equivalent atoms:
Nd 0.2080 0.0000 0.1861
Nd 0.2392 0.3229 0.1864
C 0.0000 0.1666 0.0000
S 0.0000 0.5000 0.0000
Br 0.0000 0.0000 0.5000
Br 0.0000 0.3351 0.5000

The volume is 295.7 Å³/f.u. The total moment is 0.000 μB/f.u. Its crystal system is monoclinic. Its uncorrected formation energy is -1152 meV per atom. The density comes out at 6.52 Mg/m³.



Entry 3:
DFT (GGA-PBE) results for a relaxed structure of Li17Pr2Ag3.

Lattice parameters (Å, degrees): 10.5039 10.5039 15.0327 90.00 90.00 120.00
Space group R-3m (No. 166, hexagonal axes)
One atom of each set of equivalent atoms:
Li 0.0000 0.0000 0.0968
Li 0.0000 0.2605 0.0000
Li 0.0000 0.5000 0.5000
Li 0.0198 0.5099 0.1744
Pr 0.0000 0.0000 0.3287
Ag 0.0000 0.5000 0.0000

The volume is 478.8 Å³/f.u. The total moment is 0.000 μB/f.u. Its formation energy is 0.035 eV/atom. Its crystal system is trigonal. The density comes out at 2.51 Mg/m³.



Entry 4:
DFT (GGA-PBE) results for a relaxed structure of Ba2SnAs.

Lattice parameters (Å, degrees): 4.2746 4.2746 7.6715 90.00 90.00 90.00
Space group P4/mmm (No. 123)
One atom of each set of equivalent atoms:
Ba 0.0000 0.0000 0.2220
Sn 0.5000 0.5000 0.5000
As 0.5000 0.5000 0.0000

The volume is 140.2 Å³/f.u. The total moment is 0.000 μB/f.u. Its formation energy is -0.708 eV/atom. Its crystal system is tetragonal. The density comes out at 5.55 Mg/m³.